[1]
This record from OQMD describes Ba3SrTa2O9 after structural relaxation. The functional is PBE-GGA.

The structure in CIF format:
```
data_Ba3SrTa2O9
_chemical_formula_sum 'Ba6 Sr2 Ta4 O18'
_symmetry_space_group_name_H-M 'P 1'
_symmetry_Int_Tables_number 1
_cell_length_a 6.094
_cell_length_b 6.094
_cell_length_c 15.363
_cell_angle_alpha 90.00
_cell_angle_beta 90.00
_cell_angle_gamma 120.00
loop_
_symmetry_equiv_pos_as_xyz
'x,y,z'
loop_
_atom_site_label
_atom_site_type_symbol
_atom_site_fract_x
_atom_site_fract_y
_atom_site_fract_z
_atom_site_occupancy
Ba1 Ba 0.333 0.667 0.116 1
Ba2 Ba 0.000 0.000 0.250 1
Ba3 Ba 0.333 0.667 0.384 1
Ba4 Ba 0.667 0.333 0.616 1
Ba5 Ba 0.000 0.000 0.750 1
Ba6 Ba 0.667 0.333 0.884 1
O1 O 0.355 0.114 0.097 1
O2 O 0.886 0.241 0.097 1
O3 O 0.759 0.645 0.097 1
O4 O 0.568 0.042 0.250 1
O5 O 0.475 0.432 0.250 1
O6 O 0.958 0.525 0.250 1
O7 O 0.886 0.241 0.403 1
O8 O 0.759 0.645 0.403 1
O9 O 0.355 0.114 0.403 1
O10 O 0.645 0.886 0.597 1
O11 O 0.114 0.759 0.597 1
O12 O 0.241 0.355 0.597 1
O13 O 0.042 0.475 0.750 1
O14 O 0.525 0.568 0.750 1
O15 O 0.432 0.958 0.750 1
O16 O 0.241 0.355 0.903 1
O17 O 0.114 0.759 0.903 1
O18 O 0.645 0.886 0.903 1
Sr1 Sr 0.000 0.000 0.000 1
Sr2 Sr 0.000 0.000 0.500 1
Ta1 Ta 0.667 0.333 0.154 1
Ta2 Ta 0.667 0.333 0.346 1
Ta3 Ta 0.333 0.667 0.654 1
Ta4 Ta 0.333 0.667 0.846 1
```

Results
total moment	0.01	μB per formula unit
electronic total energy	-0.591	Ry/atom
symmetry	P6_3/m

***

[2]
This record from OQMD describes BaSr2TcO6 after structural relaxation. The functional is PBE-GGA.

The structure in CIF format:
```
data_BaSr2TcO6
_chemical_formula_sum 'Ba2 Sr4 Tc2 O12'
_symmetry_space_group_name_H-M 'P 1'
_symmetry_Int_Tables_number 1
_cell_length_a 5.939
_cell_length_b 6.059
_cell_length_c 10.286
_cell_angle_alpha 90.00
_cell_angle_beta 124.74
_cell_angle_gamma 90.00
loop_
_symmetry_equiv_pos_as_xyz
'x,y,z'
loop_
_atom_site_label
_atom_site_type_symbol
_atom_site_fract_x
_atom_site_fract_y
_atom_site_fract_z
_atom_site_occupancy
Ba1 Ba 0.756 0.222 0.250 1
Ba2 Ba 0.756 0.778 0.750 1
O1 O 0.777 0.444 0.034 1
O2 O 0.889 0.983 0.053 1
O3 O 0.289 0.282 0.222 1
O4 O 0.684 0.773 0.281 1
O5 O 0.219 0.921 0.452 1
O6 O 0.146 0.491 0.457 1
O7 O 0.777 0.556 0.534 1
O8 O 0.889 0.017 0.553 1
O9 O 0.289 0.718 0.722 1
O10 O 0.684 0.227 0.781 1
O11 O 0.219 0.079 0.952 1
O12 O 0.146 0.509 0.957 1
Sr1 Sr 0.501 0.760 0.002 1
Sr2 Sr 0.239 0.696 0.252 1
Sr3 Sr 0.501 0.240 0.502 1
Sr4 Sr 0.239 0.304 0.752 1
Tc1 Tc 0.999 0.749 0.499 1
Tc2 Tc 0.999 0.251 0.999 1
```

Results
total moment	1.00	μB per formula unit
electronic total energy	-0.503	Ry/atom
symmetry	Pc

***

[3]
This record from OQMD describes BaSrZn2Te2O2 after structural relaxation. The functional is PBE-GGA.

The structure in CIF format:
```
data_BaSrZn2Te2O2
_chemical_formula_sum 'Ba1 Sr1 Zn2 Te2 O2'
_symmetry_space_group_name_H-M 'P 1'
_symmetry_Int_Tables_number 1
_cell_length_a 4.262
_cell_length_b 4.262
_cell_length_c 12.632
_cell_angle_alpha 90.00
_cell_angle_beta 90.00
_cell_angle_gamma 120.00
loop_
_symmetry_equiv_pos_as_xyz
'x,y,z'
loop_
_atom_site_label
_atom_site_type_symbol
_atom_site_fract_x
_atom_site_fract_y
_atom_site_fract_z
_atom_site_occupancy
Ba1 Ba 0.333 0.667 0.214 1
O1 O 0.667 0.333 0.155 1
O2 O 0.667 0.333 0.670 1
Sr1 Sr 0.000 0.000 0.713 1
Te1 Te 0.000 0.000 0.433 1
Te2 Te 0.333 0.667 0.918 1
Zn1 Zn 0.667 0.333 0.003 1
Zn2 Zn 0.667 0.333 0.519 1
```

Results
electronic total energy	-0.325	Ry/atom
symmetry	P3m1